This record from the Alexandria database describes a relaxed structure of Tl2WF11. The functional is PBE+U.

- Calculated total energy: -4.414 eV/atom
- Total moment: 0.0 Bohr magnetons per cell
- Space-group type: Ibam, No. 72

Structure (POSCAR):
```
Tl2WF11
1.0
-4.165 5.131 5.621
4.165 -5.131 5.621
4.165 5.131 -5.621
Tl W F
4 2 22
Direct
0.198 0.103 0.301
0.302 0.603 0.904
0.698 0.397 0.096
0.802 0.897 0.699
0.250 0.750 0.500
0.750 0.250 0.500
0.000 0.000 0.000
0.005 0.577 0.244
0.087 0.808 0.611
0.167 0.923 0.428
0.196 0.476 0.389
0.224 0.840 0.064
0.276 0.340 0.616
0.304 0.692 0.279
0.333 0.761 0.756
0.413 0.024 0.721
0.495 0.739 0.572
0.500 0.500 0.000
0.505 0.261 0.428
0.587 0.976 0.279
0.667 0.239 0.244
0.696 0.308 0.721
0.724 0.660 0.384
0.776 0.160 0.936
0.804 0.524 0.611
0.833 0.077 0.572
0.913 0.192 0.389
0.995 0.423 0.756
```